1.
GGA-PBE LiZnWI2, optimized geometry; excess energy over the best structure of this formula in the dataset = 58 meV/atom; volume = 141 Å³ per cell; total energy = -0.207 Ry per atom; uncorrected formation energy = 5.18 eV/f.u.; size of the total moment = 5.000 μB per cell; D(E_F) = 2.13 states/eV per cell; calculated density = 6.004 g/cm³
1.0
5.458 0.000 0.000
0.000 5.458 0.000
0.000 0.000 4.735
Li Zn W I
1 1 1 2
Cartesian
0.000 0.000 0.000
0.000 0.000 2.367
2.729 2.729 2.367
0.000 2.729 0.000
2.729 0.000 0.000


2.
GGA-PBE Na2InAs2, optimized geometry; excess energy over the best structure of this formula in the dataset = 0 meV/atom; volume = 257 Å³ per cell; total energy = -0.241 Ry per atom; size of the total moment = 0.000 μB per cell; energy of formation from the pure elements = -0.34 eV per atom; D(E_F) = 1.37 states/eV per cell; calculated density = 4.017 g/cm³
1.0
6.341 -2.238 0.000
6.341 2.238 0.000
-4.699 0.000 9.048
Na In As
4 2 4
Cartesian
-0.481 0.000 1.707
-0.721 0.000 5.258
8.704 0.000 3.791
8.464 0.000 7.342
3.202 0.000 1.357
4.781 0.000 7.691
0.043 0.000 8.111
3.150 0.000 5.483
4.832 0.000 3.566
7.940 0.000 0.937


size of the total moment of number 1 (LiZnWI2)?
5.000 μB per cell


Among the records above, which one has the lowest volume?
LiZnWI2